(1)
## Ni4AgHg (PBE-GGA)

Data for a relaxed Ni4AgHg crystal.

a b c (Å): 4.869 4.869 4.869
angles (deg): 60.00 60.00 60.00
Each line ends with the local moment (μB).
Element x y z (fractional)
Ni  0.875  0.375  0.375  0.26
Hg  0.000  0.000  0.000  0.00
Ni  0.375  0.875  0.375  0.26
Ag  0.750  0.750  0.750  0.00
Ni  0.375  0.375  0.875  0.26
Ni  0.375  0.375  0.375  0.26

Calculated values
Energy relative to the elements = 176 meV/atom
DOS at the Fermi energy = 5.5 states/eV/cell

(2)
## Nd2Cd3Au2 (PBE-GGA)

Data for a relaxed Nd2Cd3Au2 crystal.

a b c (Å): 3.652 4.639 10.672
angles (deg): 102.55 90.00 90.00
Element x y z (fractional)
Cd  0.000  0.000  0.000
Nd  0.000  0.165  0.330
Cd  0.500  0.570  0.140
Cd  0.500  0.430  0.860
Nd  0.000  0.835  0.670
Au  0.500  0.291  0.582
Au  0.500  0.709  0.418

Calculated values
Energy relative to the elements = -487 meV/atom
DOS at the Fermi energy = 4.0 states/eV/cell

(3)
## Ba3SmAu2O6 (PBE-GGA)

Data for a relaxed Ba3SmAu2O6 crystal.

a b c (Å): 6.280 6.280 6.957
angles (deg): 90.00 90.00 120.00
Element x y z (fractional)
O  0.833  0.667  0.694
O  0.333  0.167  0.694
O  0.167  0.833  0.306
Au  0.333  0.667  0.129
O  0.667  0.833  0.306
Ba  0.000  0.000  0.000
Ba  0.333  0.667  0.629
O  0.833  0.167  0.694
Sm  0.000  0.000  0.500
Au  0.667  0.333  0.871
O  0.167  0.333  0.306
Ba  0.667  0.333  0.371

Calculated values
DOS at the Fermi energy = 7.1 states/eV/cell
Raw formation energy = -1.71 eV/atom